# PBE with a Hubbard U Cd2SbMoO6, relaxed
# Theoretical density: 5.36 g/cm³
# E_tot: -5.39 eV per atom
data_Cd2SbMoO6
_chemical_formula_sum 'Cd2 Sb1 Mo1 O6'
_cell_length_a 5.762
_cell_length_b 5.762
_cell_length_c 5.025
_cell_angle_alpha 90.00
_cell_angle_beta 90.00
_cell_angle_gamma 90.00
_symmetry_space_group_name_H-M 'P 4 m m'
_symmetry_Int_Tables_number 99
_symmetry_space_group_name_Hall 'P 4 -2'
loop_
_atom_site_label
_atom_site_type_symbol
_atom_site_fract_x
_atom_site_fract_y
_atom_site_fract_z
Cd1 Cd 0.000 0.500 0.000
Sb1 Sb 0.000 0.000 0.638
Mo1 Mo 0.500 0.500 0.645
O1 O 0.000 0.000 0.250
O2 O 0.268 0.268 0.782
O3 O 0.500 0.500 0.294